VASP calculation (meta-GGA SCAN) on a PBEsol-optimized structure of Zr4Au.

```
data_Zr4Au
_cell_length_a 5.4877
_cell_length_b 5.4877
_cell_length_c 5.4877
_cell_angle_alpha 97.20
_cell_angle_beta 97.20
_cell_angle_gamma 138.53
_symmetry_space_group_name_H-M 'P 1'
_symmetry_Int_Tables_number 1
loop_
_symmetry_equiv_pos_as_xyz
'x,y,z'
loop_
_atom_site_label
_atom_site_type_symbol
_atom_site_fract_x
_atom_site_fract_y
_atom_site_fract_z
_atom_site_occupancy
Zr1 Zr 0.1035 0.7002 0.8037 1
Zr2 Zr 0.2998 0.1035 0.4034 1
Zr3 Zr 0.7002 0.8965 0.5966 1
Zr4 Zr 0.8965 0.2998 0.1963 1
Au1 Au 0.5000 0.5000 0.0000 1
```

Properties
Symmetry   No. 87
N(E_F)   0.991 states/eV/atom
Magnetic moment   0.00 μB per formula unit
Energy relative to the elements   -1.47 eV/f.u.



VASP calculation (meta-GGA SCAN) on a PBEsol-optimized structure of ZnIr2Rh.

```
data_ZnIr2Rh
_cell_length_a 4.6235
_cell_length_b 4.6235
_cell_length_c 4.6235
_cell_angle_alpha 131.30
_cell_angle_beta 131.30
_cell_angle_gamma 71.34
_symmetry_space_group_name_H-M 'P 1'
_symmetry_Int_Tables_number 1
loop_
_symmetry_equiv_pos_as_xyz
'x,y,z'
loop_
_atom_site_label
_atom_site_type_symbol
_atom_site_fract_x
_atom_site_fract_y
_atom_site_fract_z
_atom_site_occupancy
Zn1 Zn 0.0000 0.0000 0.0000 1
Ir1 Ir 0.5000 0.5000 0.0000 1
Ir2 Ir 0.7500 0.2500 0.5000 1
Rh1 Rh 0.2500 0.7500 0.5000 1
```

Properties
Symmetry   No. 119
N(E_F)   0.537 states/eV/atom
Magnetic moment   0.00 μB per formula unit
Energy relative to the elements   -0.55 eV/f.u.



VASP calculation (meta-GGA SCAN) on a PBEsol-optimized structure of MnV2Cr.

```
data_MnV2Cr
_cell_length_a 4.0383
_cell_length_b 4.0383
_cell_length_c 4.0383
_cell_angle_alpha 60.00
_cell_angle_beta 60.00
_cell_angle_gamma 60.00
_symmetry_space_group_name_H-M 'P 1'
_symmetry_Int_Tables_number 1
loop_
_symmetry_equiv_pos_as_xyz
'x,y,z'
loop_
_atom_site_label
_atom_site_type_symbol
_atom_site_fract_x
_atom_site_fract_y
_atom_site_fract_z
_atom_site_occupancy
Mn1 Mn 0.0000 0.0000 0.0000 1
V1 V 0.2500 0.2500 0.2500 1
V2 V 0.7500 0.7500 0.7500 1
Cr1 Cr 0.5000 0.5000 0.5000 1
```

Properties
Symmetry   No. 225
N(E_F)   0.481 states/eV/atom
Magnetic moment   0.58 μB per formula unit
Energy relative to the elements   -0.99 eV/f.u.